Entry 1:
The following is a PBE calculation of crystalline NdIO at its relaxed geometry, from Alexandria via LeMat-Bulk.

Output
SG = P4/nmm, No. 129
crystal system = tetragonal
formation energy (no corrections) = -774 kJ/mol of formula units

abc: 4.090 4.090 10.163
angles: 90.00 90.00 90.00
Fractional coordinates of all 6 atoms:
Nd: 0.500 0.000 0.885
Nd: 0.000 0.500 0.115
I: 0.500 0.000 0.304
I: 0.000 0.500 0.696
O: 0.000 0.000 0.000
O: 0.500 0.500 0.000

Entry 2:
The following is a PBE calculation of crystalline SbPAu at its relaxed geometry, from Alexandria via LeMat-Bulk.

Output
SG = P6_3/mmc, No. 194
crystal system = hexagonal
formation energy (no corrections) = 100 kJ/mol of formula units

abc: 5.066 5.066 5.540
angles: 90.00 90.00 120.00
Fractional coordinates of all 6 atoms:
Sb: 0.667 0.333 0.250
Sb: 0.333 0.667 0.750
Au: 0.000 0.000 0.000
Au: 0.000 0.000 0.500
P: 0.333 0.667 0.250
P: 0.667 0.333 0.750

Entry 3:
The following is a PBE calculation of crystalline BaSn4Au2 at its relaxed geometry, from Alexandria via LeMat-Bulk.

Output
calculated formation energy = -0.368 eV per atom
SG = Pnma, No. 62
crystal system = orthorhombic

abc: 4.706 7.693 20.954
angles: 90.00 90.00 90.00
Fractional coordinates of all 28 atoms:
Sn: 0.250 0.192 0.195
Sn: 0.250 0.490 0.433
Sn: 0.750 0.990 0.067
Sn: 0.750 0.212 0.815
Sn: 0.250 0.010 0.933
Sn: 0.750 0.808 0.805
Sn: 0.250 0.788 0.185
Sn: 0.750 0.510 0.567
Sn: 0.250 0.712 0.685
Sn: 0.750 0.692 0.305
Sn: 0.750 0.648 0.975
Sn: 0.750 0.288 0.315
Sn: 0.250 0.352 0.025
Sn: 0.750 0.852 0.475
Sn: 0.250 0.148 0.525
Sn: 0.250 0.308 0.695
Au: 0.750 0.253 0.457
Au: 0.250 0.009 0.784
Au: 0.750 0.991 0.216
Au: 0.750 0.509 0.716
Au: 0.750 0.247 0.957
Au: 0.250 0.753 0.043
Au: 0.250 0.491 0.284
Au: 0.250 0.747 0.543
Ba: 0.750 0.020 0.640
Ba: 0.750 0.480 0.140
Ba: 0.250 0.980 0.360
Ba: 0.250 0.520 0.860

Entry 4:
The following is a PBE calculation of crystalline Pm3Nd4Tm at its relaxed geometry, from Alexandria via LeMat-Bulk.

Output
calculated formation energy = 0.012 eV per atom
SG = C2/m, No. 12
crystal system = monoclinic

abc: 3.662 6.332 15.282
angles: 128.44 96.88 90.00
Fractional coordinates of all 8 atoms:
Pm: 0.000 0.500 0.000
Pm: 0.749 0.748 0.498
Pm: 0.251 0.252 0.502
Nd: 0.625 0.040 0.249
Nd: 0.123 0.538 0.247
Nd: 0.877 0.462 0.753
Nd: 0.375 0.960 0.751
Tm: 0.500 0.000 0.000